Material: BeHgGeP2
Method: DFT, GGA-PBE
State: optimized geometry

SG: P4/mmm
calculated formation energy: 0.574 eV/atom

abc: 4.2293 5.1712 4.2293
angles: 90.00 90.00 90.00
Fractional coordinates of all 5 atoms:
Ge  0.0000  0.5000  0.0000
Hg  0.5000  0.5000  0.5000
P  0.0000  0.0000  0.5000
P  0.5000  0.0000  0.0000
Be  0.0000  0.0000  0.0000